Entry 1:
{"formula": "Ho2Al4CuPd3", "functional": "GGA-PBE", "state": "relaxed", "formation_enthalpy_0k_ev_per_atom": -0.739, "final_energy_ev_per_atom": -5.12, "magmom_total_mub_per_atom": 0.00, "lattice": [[4.113, 0.000, 0.000], [0.000, 4.113, 0.000], [0.000, 0.000, 10.834]], "species": ["Al", "Pd", "Ho", "Al", "Pd", "Al", "Pd", "Ho", "Cu", "Al"], "fractional_positions": [[0.000, 0.000, 0.000], [0.500, 0.000, 0.860], [0.500, 0.000, 0.249], [0.500, 0.000, 0.629], [0.000, 0.000, 0.500], [0.500, 0.500, 0.000], [0.000, 0.500, 0.140], [0.000, 0.500, 0.751], [0.500, 0.500, 0.500], [0.000, 0.500, 0.371]]}


Entry 2:
{"formula": "HoAl3CuPd", "functional": "GGA-PBE", "state": "relaxed", "formation_enthalpy_0k_ev_per_atom": -0.416, "final_energy_ev_per_atom": -4.60, "magmom_total_mub_per_atom": 0.00, "lattice": [[-3.026, -4.710, 1.135], [3.387, -0.968, 5.015], [-5.665, 3.837, 0.822]], "species": ["Al", "Ho", "Cu", "Al", "Pd", "Cu", "Al", "Al", "Pd", "Al", "Al", "Ho"], "fractional_positions": [[0.500, 0.288, 0.000], [0.250, 0.713, 0.427], [0.750, 0.072, 0.143], [0.500, 0.712, 0.000], [0.250, 0.353, 0.706], [0.250, 0.928, 0.857], [0.000, 0.288, 0.000], [0.250, 0.143, 0.285], [0.750, 0.647, 0.294], [0.750, 0.857, 0.715], [0.000, 0.712, 0.000], [0.750, 0.287, 0.573]]}


Entry 3:
{"formula": "HoAl4CuPd2", "functional": "GGA-PBE", "state": "relaxed", "formation_enthalpy_0k_ev_per_atom": -0.610, "final_energy_ev_per_atom": -4.86, "magmom_total_mub_per_atom": 0.00, "lattice": [[-3.919, 0.874, -1.404], [-2.954, -3.059, -0.102], [-4.708, 1.337, 7.531]], "species": ["Pd", "Al", "Pd", "Al", "Cu", "Al", "Ho", "Al"], "fractional_positions": [[0.762, 0.762, 0.715], [0.597, 0.597, 0.208], [0.238, 0.238, 0.285], [0.403, 0.403, 0.792], [0.500, 0.500, 0.500], [0.868, 0.868, 0.396], [0.000, 0.000, 0.000], [0.132, 0.132, 0.604]]}


Entry 4:
{"formula": "HoAl2CuPd4", "functional": "GGA-PBE", "state": "relaxed", "formation_enthalpy_0k_ev_per_atom": -0.734, "final_energy_ev_per_atom": -5.35, "magmom_total_mub_per_atom": 0.00, "lattice": [[4.362, 0.000, 0.000], [2.181, 3.778, 0.000], [2.181, 1.259, 7.953]], "species": ["Pd", "Ho", "Al", "Cu", "Pd", "Al", "Pd", "Pd"], "fractional_positions": [[0.874, 0.874, 0.379], [0.000, 0.000, 0.000], [0.238, 0.238, 0.287], [0.500, 0.500, 0.500], [0.394, 0.394, 0.817], [0.762, 0.762, 0.713], [0.126, 0.126, 0.621], [0.606, 0.606, 0.183]]}